First-principles (GGA-PBE) data for a relaxed structure of LaSi2Au, as listed in Alexandria. Values from VASP.

The structure in Quantum ESPRESSO input format:
```
&SYSTEM
  ibrav = 0, nat = 4, ntyp = 3
/
ATOMIC_SPECIES
Au 196.97 Au.upf
La 138.91 La.upf
Si 28.09 Si.upf
CELL_PARAMETERS angstrom
3.692 0.002 0.000
-1.146 3.510 0.000
0.000 0.000 6.790
ATOMIC_POSITIONS crystal
Au 0.500 0.500 0.250
La 0.500 0.500 0.750
Si 0.000 0.000 0.058
Si 0.000 0.000 0.442
```

Calculated values
**ρ**: 7.4 g/cm³
**DOS(E_F)**: 0.488 states/eV per atom
**Calculated volume**: 22.00 A^3/atom
**Final energy**: -5.0053 eV per atom
**Magnetic moment**: 0.00 μB per formula unit



First-principles (GGA-PBE) data for a relaxed structure of LaSi4Au, as listed in Alexandria. Values from VASP.

The structure in Quantum ESPRESSO input format:
```
&SYSTEM
  ibrav = 0, nat = 6, ntyp = 3
/
ATOMIC_SPECIES
La 138.91 La.upf
Si 28.09 Si.upf
Au 196.97 Au.upf
CELL_PARAMETERS angstrom
0.000 3.802 3.802
3.802 0.000 3.802
3.802 3.802 0.000
ATOMIC_POSITIONS crystal
La 0.000 0.000 0.000
Si 0.869 0.377 0.377
Si 0.377 0.377 0.869
Si 0.377 0.869 0.377
Si 0.377 0.377 0.377
Au 0.750 0.750 0.750
```

Calculated values
**ρ**: 6.8 g/cm³
**DOS(E_F)**: 0.406 states/eV per atom
**Calculated volume**: 18.32 A^3/atom
**Final energy**: -5.0723 eV per atom
**Magnetic moment**: 0.00 μB per formula unit



First-principles (GGA-PBE) data for a relaxed structure of LaSiAu3, as listed in Alexandria. Values from VASP.

The structure in Quantum ESPRESSO input format:
```
&SYSTEM
  ibrav = 0, nat = 5, ntyp = 3
/
ATOMIC_SPECIES
Si 28.09 Si.upf
Au 196.97 Au.upf
La 138.91 La.upf
CELL_PARAMETERS angstrom
4.869 0.000 0.000
0.000 4.869 0.000
0.000 0.000 4.869
ATOMIC_POSITIONS crystal
Si 0.000 0.000 0.000
Au 0.000 0.500 0.000
Au 0.000 0.000 0.500
Au 0.500 0.000 0.000
La 0.500 0.500 0.500
```

Calculated values
**Energy relative to the lowest polymorph listed for this composition**: 210 meV per atom
**ρ**: 10.9 g/cm³
**DOS(E_F)**: 0.656 states/eV per atom
**Calculated volume**: 23.09 A^3/atom
**Final energy**: -4.4553 eV per atom
**Magnetic moment**: 0.00 μB per formula unit



First-principles (GGA-PBE) data for a relaxed structure of La2Si3Au2, as listed in Alexandria. Values from VASP.

The structure in Quantum ESPRESSO input format:
```
&SYSTEM
  ibrav = 0, nat = 14, ntyp = 3
/
ATOMIC_SPECIES
La 138.91 La.upf
Si 28.09 Si.upf
Au 196.97 Au.upf
CELL_PARAMETERS angstrom
4.412 0.000 -1.052
0.000 7.040 0.000
-0.038 0.000 9.618
ATOMIC_POSITIONS crystal
La 0.156 0.250 0.311
La 0.844 0.750 0.689
La 0.948 0.250 0.896
La 0.052 0.750 0.104
Si 0.223 0.750 0.446
Si 0.777 0.250 0.554
Si 0.555 0.421 0.111
Si 0.445 0.579 0.889
Si 0.445 0.921 0.889
Si 0.555 0.079 0.111
Au 0.683 0.949 0.366
Au 0.317 0.051 0.634
Au 0.317 0.449 0.634
Au 0.683 0.551 0.366
```

Calculated values
**ρ**: 8.4 g/cm³
**DOS(E_F)**: 0.358 states/eV per atom
**Calculated volume**: 21.32 A^3/atom
**Final energy**: -5.3817 eV per atom
**Magnetic moment**: 0.00 μB per formula unit



First-principles (GGA-PBE) data for a relaxed structure of LaSi3Au, as listed in Alexandria. Values from VASP.

The structure in Quantum ESPRESSO input format:
```
&SYSTEM
  ibrav = 0, nat = 5, ntyp = 3
/
ATOMIC_SPECIES
Si 28.09 Si.upf
Au 196.97 Au.upf
La 138.91 La.upf
CELL_PARAMETERS angstrom
-4.617 1.598 0.565
-0.238 -2.234 4.375
1.679 4.079 2.174
ATOMIC_POSITIONS crystal
Si 0.000 0.500 0.000
Si 0.000 0.000 0.500
Si 0.500 0.000 0.000
Au 0.000 0.000 0.000
La 0.500 0.500 0.500
```

Calculated values
**ρ**: 5.9 g/cm³
**DOS(E_F)**: 0.986 states/eV per atom
**Calculated volume**: 23.79 A^3/atom
**Final energy**: -4.5749 eV per atom
**Magnetic moment**: 0.00 μB per formula unit



First-principles (GGA-PBE) data for a relaxed structure of LaSi2Au, as listed in Alexandria. Values from VASP.

The structure in Quantum ESPRESSO input format:
```
&SYSTEM
  ibrav = 0, nat = 4, ntyp = 3
/
ATOMIC_SPECIES
Au 196.97 Au.upf
La 138.91 La.upf
Si 28.09 Si.upf
CELL_PARAMETERS angstrom
4.093 0.000 0.000
0.000 4.836 0.015
0.000 0.794 4.588
ATOMIC_POSITIONS crystal
Au 0.000 0.405 0.440
La 0.500 0.739 0.842
Si 0.000 0.204 0.958
Si 0.500 0.151 0.260
```

Calculated values
**ρ**: 7.2 g/cm³
**DOS(E_F)**: 0.323 states/eV per atom
**Calculated volume**: 22.69 A^3/atom
**Final energy**: -5.2029 eV per atom
**Magnetic moment**: 0.00 μB per formula unit



First-principles (GGA-PBE) data for a relaxed structure of La5Si2Au, as listed in Alexandria. Values from VASP.

The structure in Quantum ESPRESSO input format:
```
&SYSTEM
  ibrav = 0, nat = 16, ntyp = 3
/
ATOMIC_SPECIES
La 138.91 La.upf
Si 28.09 Si.upf
Au 196.97 Au.upf
CELL_PARAMETERS angstrom
7.084 0.000 -3.344
-1.578 6.905 -3.344
0.081 0.101 9.346
ATOMIC_POSITIONS crystal
La 0.535 0.682 0.717
La 0.818 0.965 0.283
La 0.000 0.000 0.000
La 0.500 0.500 0.000
La 0.182 0.035 0.717
La 0.682 0.182 0.717
La 0.035 0.535 0.717
La 0.318 0.818 0.283
La 0.965 0.465 0.283
La 0.465 0.318 0.283
Si 0.113 0.387 0.000
Si 0.613 0.113 0.000
Si 0.387 0.887 0.000
Si 0.887 0.613 0.000
Au 0.750 0.750 0.500
Au 0.250 0.250 0.500
```

Calculated values
**ρ**: 6.8 g/cm³
**DOS(E_F)**: 1.158 states/eV per atom
**Calculated volume**: 28.87 A^3/atom
**Final energy**: -5.4497 eV per atom
**Magnetic moment**: 0.00 μB per formula unit



First-principles (GGA-PBE) data for a relaxed structure of LaSi2Au, as listed in Alexandria. Values from VASP.

The structure in Quantum ESPRESSO input format:
```
&SYSTEM
  ibrav = 0, nat = 4, ntyp = 3
/
ATOMIC_SPECIES
Au 196.97 Au.upf
La 138.91 La.upf
Si 28.09 Si.upf
CELL_PARAMETERS angstrom
-2.981 2.662 -1.252
-1.311 -3.047 -3.356
-3.132 -2.291 2.588
ATOMIC_POSITIONS crystal
Au 0.500 0.250 0.250
La 0.500 0.750 0.750
Si 0.000 0.126 0.999
Si 0.000 0.374 0.501
```

Calculated values
**ρ**: 7.1 g/cm³
**DOS(E_F)**: 0.291 states/eV per atom
**Calculated volume**: 22.91 A^3/atom
**Final energy**: -5.2661 eV per atom
**Magnetic moment**: 0.00 μB per formula unit



First-principles (GGA-PBE) data for a relaxed structure of LaSiAu2, as listed in Alexandria. Values from VASP.

The structure in Quantum ESPRESSO input format:
```
&SYSTEM
  ibrav = 0, nat = 4, ntyp = 3
/
ATOMIC_SPECIES
Au 196.97 Au.upf
La 138.91 La.upf
Si 28.09 Si.upf
CELL_PARAMETERS angstrom
-2.132 3.746 0.905
-1.363 -3.941 3.791
1.970 0.876 3.830
ATOMIC_POSITIONS crystal
Au 0.000 0.000 0.000
Au 0.500 0.000 0.500
La 0.000 0.500 0.500
Si 0.500 0.500 0.000
```

Calculated values
**ρ**: 10.0 g/cm³
**DOS(E_F)**: 0.378 states/eV per atom
**Calculated volume**: 23.18 A^3/atom
**Final energy**: -4.4418 eV per atom
**Magnetic moment**: 0.00 μB per formula unit



First-principles (GGA-PBE) data for a relaxed structure of La3Si3Au, as listed in Alexandria. Values from VASP.

The structure in Quantum ESPRESSO input format:
```
&SYSTEM
  ibrav = 0, nat = 7, ntyp = 3
/
ATOMIC_SPECIES
La 138.91 La.upf
Si 28.09 Si.upf
Au 196.97 Au.upf
CELL_PARAMETERS angstrom
4.059 0.000 -0.885
-0.218 4.311 -1.002
0.039 0.030 9.926
ATOMIC_POSITIONS crystal
La 0.313 0.813 0.626
La 0.684 0.184 0.368
La 0.005 0.005 0.011
Si 0.139 0.639 0.277
Si 0.858 0.358 0.716
Si 0.566 0.566 0.132
Au 0.435 0.435 0.871
```

Calculated values
**ρ**: 6.7 g/cm³
**DOS(E_F)**: 0.886 states/eV per atom
**Calculated volume**: 24.85 A^3/atom
**Final energy**: -5.6660 eV per atom
**Magnetic moment**: 0.35 μB per formula unit



First-principles (GGA-PBE) data for a relaxed structure of LaSi2Au, as listed in Alexandria. Values from VASP.

The structure in Quantum ESPRESSO input format:
```
&SYSTEM
  ibrav = 0, nat = 4, ntyp = 3
/
ATOMIC_SPECIES
Au 196.97 Au.upf
La 138.91 La.upf
Si 28.09 Si.upf
CELL_PARAMETERS angstrom
6.145 -0.001 -0.001
3.558 5.010 0.001
-4.757 -2.687 2.812
ATOMIC_POSITIONS crystal
Au 0.525 0.525 0.000
La 0.791 0.291 0.500
Si 0.019 0.019 0.000
Si 0.165 0.665 0.500
```

Calculated values
**ρ**: 7.5 g/cm³
**DOS(E_F)**: 0.466 states/eV per atom
**Calculated volume**: 21.65 A^3/atom
**Final energy**: -5.1805 eV per atom
**Magnetic moment**: 0.00 μB per formula unit



First-principles (GGA-PBE) data for a relaxed structure of La3Si3Au2, as listed in Alexandria. Values from VASP.

The structure in Quantum ESPRESSO input format:
```
&SYSTEM
  ibrav = 0, nat = 16, ntyp = 3
/
ATOMIC_SPECIES
La 138.91 La.upf
Si 28.09 Si.upf
Au 196.97 Au.upf
CELL_PARAMETERS angstrom
4.400 0.000 0.000
-2.200 5.606 0.000
0.000 0.000 15.663
ATOMIC_POSITIONS crystal
La 0.861 0.723 0.403
La 0.139 0.277 0.903
La 0.861 0.723 0.097
La 0.139 0.277 0.597
La 0.580 0.159 0.250
La 0.420 0.841 0.750
Si 0.574 0.148 0.447
Si 0.426 0.852 0.947
Si 0.574 0.148 0.053
Si 0.426 0.852 0.553
Si 0.298 0.596 0.250
Si 0.702 0.404 0.750
Au 0.847 0.694 0.886
Au 0.153 0.306 0.386
Au 0.847 0.694 0.614
Au 0.153 0.306 0.114
```

Calculated values
**ρ**: 7.7 g/cm³
**DOS(E_F)**: 0.715 states/eV per atom
**Calculated volume**: 24.15 A^3/atom
**Final energy**: -5.4845 eV per atom
**Magnetic moment**: 0.00 μB per formula unit



First-principles (GGA-PBE) data for a relaxed structure of LaSi2Au, as listed in Alexandria. Values from VASP.

The structure in Quantum ESPRESSO input format:
```
&SYSTEM
  ibrav = 0, nat = 4, ntyp = 3
/
ATOMIC_SPECIES
Au 196.97 Au.upf
La 138.91 La.upf
Si 28.09 Si.upf
CELL_PARAMETERS angstrom
5.462 0.001 0.000
2.048 5.064 0.000
-3.755 -2.532 3.054
ATOMIC_POSITIONS crystal
Au 0.500 0.500 0.000
La 0.750 0.250 0.500
Si 0.000 0.000 0.000
Si 0.250 0.750 0.500
```

Calculated values
**ρ**: 7.7 g/cm³
**DOS(E_F)**: 0.619 states/eV per atom
**Calculated volume**: 21.12 A^3/atom
**Final energy**: -4.9665 eV per atom
**Magnetic moment**: 0.00 μB per formula unit



First-principles (GGA-PBE) data for a relaxed structure of La3Si4Au2, as listed in Alexandria. Values from VASP.

The structure in Quantum ESPRESSO input format:
```
&SYSTEM
  ibrav = 0, nat = 9, ntyp = 3
/
ATOMIC_SPECIES
La 138.91 La.upf
Si 28.09 Si.upf
Au 196.97 Au.upf
CELL_PARAMETERS angstrom
-0.937 3.986 1.290
-1.877 -4.084 4.109
8.038 1.020 2.687
ATOMIC_POSITIONS crystal
La 0.663 0.326 0.671
La 0.000 0.000 0.000
La 0.337 0.674 0.329
Si 0.723 0.446 0.053
Si 0.277 0.554 0.947
Si 0.947 0.893 0.609
Si 0.053 0.107 0.391
Au 0.613 0.226 0.280
Au 0.387 0.774 0.720
```

Calculated values
**ρ**: 7.4 g/cm³
**DOS(E_F)**: 0.542 states/eV per atom
**Calculated volume**: 22.87 A^3/atom
**Final energy**: -5.6167 eV per atom
**Magnetic moment**: 0.00 μB per formula unit



First-principles (GGA-PBE) data for a relaxed structure of LaSi2Au, as listed in Alexandria. Values from VASP.

The structure in Quantum ESPRESSO input format:
```
&SYSTEM
  ibrav = 0, nat = 4, ntyp = 3
/
ATOMIC_SPECIES
Au 196.97 Au.upf
La 138.91 La.upf
Si 28.09 Si.upf
CELL_PARAMETERS angstrom
3.350 0.000 0.000
0.000 3.595 0.000
0.000 0.000 6.741
ATOMIC_POSITIONS crystal
Au 0.000 0.000 0.446
La 0.500 0.500 0.758
Si 0.000 0.000 0.064
Si 0.500 0.500 0.232
```

Calculated values
**ρ**: 8.0 g/cm³
**DOS(E_F)**: 0.555 states/eV per atom
**Calculated volume**: 20.30 A^3/atom
**Final energy**: -5.0036 eV per atom
**Magnetic moment**: 0.00 μB per formula unit



First-principles (GGA-PBE) data for a relaxed structure of LaSi3Au, as listed in Alexandria. Values from VASP.

The structure in Quantum ESPRESSO input format:
```
&SYSTEM
  ibrav = 0, nat = 5, ntyp = 3
/
ATOMIC_SPECIES
Si 28.09 Si.upf
Au 196.97 Au.upf
La 138.91 La.upf
CELL_PARAMETERS angstrom
-0.289 4.737 2.768
-1.654 -2.718 4.479
5.232 -0.598 1.569
ATOMIC_POSITIONS crystal
Si 0.000 0.500 0.000
Si 0.000 0.000 0.500
Si 0.500 0.000 0.000
Au 0.500 0.500 0.500
La 0.000 0.000 0.000
```

Calculated values
**ρ**: 4.2 g/cm³
**DOS(E_F)**: 0.984 states/eV per atom
**Calculated volume**: 33.17 A^3/atom
**Final energy**: -3.3379 eV per atom
**Magnetic moment**: 0.00 μB per formula unit



First-principles (GGA-PBE) data for a relaxed structure of LaSiAu2, as listed in Alexandria. Values from VASP.

The structure in Quantum ESPRESSO input format:
```
&SYSTEM
  ibrav = 0, nat = 4, ntyp = 3
/
ATOMIC_SPECIES
Au 196.97 Au.upf
La 138.91 La.upf
Si 28.09 Si.upf
CELL_PARAMETERS angstrom
4.376 0.001 -0.008
2.187 3.791 -0.008
2.199 1.270 5.403
ATOMIC_POSITIONS crystal
Au 0.969 0.969 0.094
Au 0.531 0.531 0.406
La 0.750 0.750 0.750
Si 0.250 0.250 0.250
```

Calculated values
**ρ**: 10.4 g/cm³
**DOS(E_F)**: 0.735 states/eV per atom
**Calculated volume**: 22.43 A^3/atom
**Final energy**: -4.7864 eV per atom
**Magnetic moment**: 0.00 μB per formula unit



First-principles (GGA-PBE) data for a relaxed structure of LaSi2Au, as listed in Alexandria. Values from VASP.

The structure in Quantum ESPRESSO input format:
```
&SYSTEM
  ibrav = 0, nat = 4, ntyp = 3
/
ATOMIC_SPECIES
Au 196.97 Au.upf
La 138.91 La.upf
Si 28.09 Si.upf
CELL_PARAMETERS angstrom
-3.214 -2.851 -1.161
-0.707 -4.039 1.729
-4.237 0.424 3.849
ATOMIC_POSITIONS crystal
Au 0.522 0.522 0.407
La 0.748 0.748 0.756
Si 0.974 0.974 0.100
Si 0.256 0.256 0.237
```

Calculated values
**ρ**: 7.6 g/cm³
**DOS(E_F)**: 0.336 states/eV per atom
**Calculated volume**: 21.41 A^3/atom
**Final energy**: -5.1663 eV per atom
**Magnetic moment**: 0.00 μB per formula unit



First-principles (GGA-PBE) data for a relaxed structure of LaSi2Au8, as listed in Alexandria. Values from VASP.

The structure in Quantum ESPRESSO input format:
```
&SYSTEM
  ibrav = 0, nat = 11, ntyp = 3
/
ATOMIC_SPECIES
La 138.91 La.upf
Si 28.09 Si.upf
Au 196.97 Au.upf
CELL_PARAMETERS angstrom
5.705 0.000 0.000
0.000 5.705 0.000
0.000 0.000 8.023
ATOMIC_POSITIONS crystal
La 0.500 0.500 0.500
Si 0.500 0.000 0.000
Si 0.000 0.500 0.000
Au 0.753 0.753 0.201
Au 0.753 0.247 0.799
Au 0.753 0.753 0.799
Au 0.753 0.247 0.201
Au 0.247 0.753 0.201
Au 0.247 0.753 0.799
Au 0.247 0.247 0.201
Au 0.247 0.247 0.799
```

Calculated values
**ρ**: 11.3 g/cm³
**DOS(E_F)**: 0.406 states/eV per atom
**Calculated volume**: 23.74 A^3/atom
**Final energy**: -3.8636 eV per atom
**Magnetic moment**: 0.00 μB per formula unit



First-principles (GGA-PBE) data for a relaxed structure of LaSiAu3, as listed in Alexandria. Values from VASP.

The structure in Quantum ESPRESSO input format:
```
&SYSTEM
  ibrav = 0, nat = 5, ntyp = 3
/
ATOMIC_SPECIES
Si 28.09 Si.upf
Au 196.97 Au.upf
La 138.91 La.upf
CELL_PARAMETERS angstrom
5.580 0.000 0.000
0.000 5.580 0.000
0.000 0.000 5.580
ATOMIC_POSITIONS crystal
Si 0.500 0.500 0.500
Au 0.000 0.500 0.000
Au 0.000 0.000 0.500
Au 0.500 0.000 0.000
La 0.000 0.000 0.000
```

Calculated values
**Energy relative to the lowest polymorph listed for this composition**: 1475 meV per atom
**ρ**: 7.2 g/cm³
**DOS(E_F)**: 0.716 states/eV per atom
**Calculated volume**: 34.74 A^3/atom
**Final energy**: -3.1899 eV per atom
**Magnetic moment**: 1.04 μB per formula unit



| no. | uncorrected formation energy (meV/atom) |
| --- | --- |
| 1 | -243 |
| 2 | -89 |
| 3 | -419 |
| 4 | -713 |
| 5 | 320 |
| 6 | -440 |
| 7 | -605 |
| 8 | -503 |
| 9 | -216 |
| 10 | -762 |
| 11 | -418 |
| 12 | -784 |
| 13 | -204 |
| 14 | -836 |
| 15 | -241 |
| 16 | 1557 |
| 17 | -560 |
| 18 | -404 |
| 19 | -46 |
| 20 | 847 |